Entry 1:
The following is a PBE calculation of a relaxed structure of Hg2SbMo, from the Alexandria database.

```
Hg2SbMo
1.0
-4.130 4.130 2.790
4.130 -4.130 2.790
4.130 4.130 -2.790
Hg Sb Mo
4 2 2
direct
0.106 0.625 0.981
0.375 0.356 0.481
0.644 0.125 0.019
0.875 0.894 0.519
0.250 0.750 0.500
0.500 0.500 0.000
0.000 0.000 0.000
0.750 0.250 0.500
```



Entry 2:
The following is a PBE calculation of a relaxed structure of HgSbMo2, from the Alexandria database.

```
HgSbMo2
1.0
1.706 -2.457 0.000
1.706 2.457 0.000
0.000 0.000 9.022
Hg Sb Mo
1 1 2
direct
0.000 0.000 0.000
0.000 0.000 0.500
0.500 0.500 0.262
0.500 0.500 0.738
```

Computed properties:
The calculation puts the offset from the most stable computed form at 446.1 meV/atom.



Entry 3:
The following is a PBE calculation of a relaxed structure of HgSb2Mo, from the Alexandria database.

```
HgSb2Mo
1.0
3.127 -3.877 0.000
3.127 3.877 0.000
0.000 0.000 3.579
Hg Sb Mo
1 2 1
direct
0.000 0.000 0.000
0.000 0.500 0.500
0.500 0.000 0.500
0.500 0.500 0.000
```

Computed properties:
The calculation puts the offset from the most stable computed form at 454.9 meV/atom.



no.,raw formation energy (eV/atom),calculated total energy (eV/atom)
1,0.6968,-3.19
2,0.7136,-5.81
3,0.5759,-4.27